Arrangement a

Entry from the Alexandria database: a relaxed Ta3MnIr crystal (PBE).

The structure belongs to space group Pm-3m (No. 221); the cell edges are 4.8070, 4.8070 and 4.8070 Å and the angles 90.00°, 90.00° and 90.00°. The inequivalent atoms are Ta at (0.0000, 0.0000, 0.5000), Mn at (0.5000, 0.5000, 0.5000) and Ir at (0.0000, 0.0000, 0.0000).

Arrangement b

Entry from the Alexandria database: a relaxed Ta3MnIr crystal (PBE).

The structure belongs to space group Pm-3m (No. 221); the cell edges are 4.5033, 4.5033 and 4.5033 Å and the angles 90.00°, 90.00° and 90.00°. The inequivalent atoms are Ta at (0.0000, 0.0000, 0.5000), Mn at (0.0000, 0.0000, 0.0000) and Ir at (0.5000, 0.5000, 0.5000).

Verdict on stability: arrangement b comes out on top.

Arrangement a

Entry from the Alexandria database: a relaxed Tb2MnIr3 crystal (PBE).

The structure belongs to space group Immm (No. 71); the cell edges are 4.5608, 5.4458 and 9.6686 Å and the angles 90.00°, 90.00° and 90.00°. The inequivalent atoms are Tb at (0.0000, 0.0000, 0.1806), Mn at (0.0000, 0.0000, 0.5000), Ir at (0.0000, 0.5000, 0.1349) and Ir at (0.0000, 0.5000, 0.5000).

Arrangement b

Entry from the Alexandria database: a relaxed Tb2MnIr3 crystal (PBE).

The structure belongs to space group P6_3/mmc (No. 194); the cell edges are 5.4738, 5.4738 and 8.2892 Å and the angles 90.00°, 90.00° and 120.00°. The inequivalent atoms are Tb at (0.3333, 0.6667, 0.0646), Mn at (0.0000, 0.0000, 0.0000) and Ir at (0.1687, 0.3374, 0.7500).

Verdict on stability: arrangement b comes out on top.

Arrangement a

Entry from the Alexandria database: a relaxed MnTc2Ir crystal (PBE).

The structure belongs to space group I4/mmm (No. 139); the cell edges are 3.7742, 3.7742 and 7.7868 Å and the angles 90.00°, 90.00° and 90.00°. The inequivalent atoms are Mn at (0.0000, 0.0000, 0.0000), Tc at (0.0000, 0.5000, 0.2500) and Ir at (0.0000, 0.0000, 0.5000).

Arrangement b

Entry from the Alexandria database: a relaxed MnTc2Ir crystal (PBE).

The structure belongs to space group Cm (No. 8); the cell edges are 8.9198, 2.6954 and 4.7180 Å and the angles 90.00°, 99.57° and 90.00°. The inequivalent atoms are Mn at (0.0000, 0.0000, 0.0000), Tc at (0.2528, 0.0000, 0.7545), Tc at (0.4977, 0.0000, 0.4977) and Ir at (0.2509, 0.5000, 0.2494).

Arrangement c

Entry from the Alexandria database: a relaxed MnTc2Ir crystal (PBE).

The structure belongs to space group Cmmm (No. 65); the cell edges are 5.3523, 7.7478 and 2.6888 Å and the angles 90.00°, 90.00° and 90.00°. The inequivalent atoms are Mn at (0.0000, 0.0000, 0.0000), Tc at (0.2500, 0.2500, 0.5000) and Ir at (0.0000, 0.5000, 0.0000).

Verdict on stability: arrangement a comes out on top.